Record 1
The following is a DFT calculation (GGA-PBE) of crystalline LaNdGd2 at its relaxed geometry.

Cell lengths 8.2064, 8.2064, 8.2064 Å; angles 90.00, 90.00, 90.00 degrees
With the nearest neighbours (Å) after each atom.
Space group Fm-3m (No. 225)
One atom of each set of equivalent atoms:
1 La 0.0000 0.0000 0.0000 (multiplicity 4)  8 Gd 3.55
2 Nd 0.0000 0.0000 0.5000 (multiplicity 4)  8 Gd 3.55
3 Gd 0.2500 0.2500 0.2500 (multiplicity 8)  4 La 3.55, 4 Nd 3.55

The mass density comes out at 7.18 Mg/m³. As for the electronic total energy: -9.374 eV/atom. Its relative energy among the computed polymorphs is 73 meV/atom. The value obtained for the volume is 34.54 Å³/atom.

---

Record 2
The following is a DFT calculation (GGA-PBE) of crystalline LaNdGd2 at its relaxed geometry.

Cell lengths 3.6466, 3.6466, 35.6973 Å; angles 90.00, 90.00, 120.00 degrees
With the nearest neighbours (Å) after each atom.
Space group R-3m (No. 166, hexagonal axes)
One atom of each set of equivalent atoms:
1 La 0.0000 0.0000 0.0000 (multiplicity 3)  6 La 3.65, 6 Gd 3.67
2 Nd 0.0000 0.0000 0.5000 (multiplicity 3)  6 Gd 3.62, 6 Nd 3.65
3 Gd 0.0000 0.0000 0.2493 (multiplicity 6)  3 Nd 3.62, 6 Gd 3.65, 3 La 3.67

The mass density comes out at 7.24 Mg/m³. As for the electronic total energy: -9.447 eV/atom. Its relative energy among the computed polymorphs is 0 meV/atom. The value obtained for the volume is 34.26 Å³/atom.

---

Record 3
The following is a DFT calculation (GGA-PBE) of crystalline LaNdGd2 at its relaxed geometry.

Cell lengths 5.1656, 5.1656, 5.1403 Å; angles 90.00, 90.00, 90.00 degrees
With the nearest neighbours (Å) after each atom.
Space group P4/mmm (No. 123)
One atom of each set of equivalent atoms:
1 La 0.0000 0.0000 0.0000 (multiplicity 1)  8 Gd 3.64, 4 Nd 3.65
2 Nd 0.5000 0.5000 0.0000 (multiplicity 1)  8 Gd 3.64, 4 La 3.65
3 Gd 0.0000 0.5000 0.5000 (multiplicity 2)  4 La 3.64, 4 Nd 3.64, 4 Gd 3.65

The mass density comes out at 7.24 Mg/m³. As for the electronic total energy: -9.446 eV/atom. Its relative energy among the computed polymorphs is 0 meV/atom. The value obtained for the volume is 34.29 Å³/atom.